Entry 1:
TmGaPt4 after structural relaxation, computed with PBE.

The value obtained for the polymorph energy (0 for the lowest one) is 31 meV/atom. Its formation energy is -0.72 eV per atom.

Lattice parameters (Å, degrees): 3.920 3.920 7.534 90.00 90.00 90.00
Sites, in units of the cell vectors:
1 Pt 0.500 0.000 0.279
2 Pt 0.000 0.500 0.721
3 Pt 0.500 0.000 0.721
4 Ga 0.500 0.500 0.500
5 Pt 0.000 0.500 0.279
6 Tm 0.000 0.000 0.000

---

Entry 2:
Dy5Cd2Tc2 after structural relaxation, computed with PBE.

Its formation energy is -0.14 eV per atom.

Lattice parameters (Å, degrees): 7.292 7.468 9.268 90.00 66.83 90.00
Sites, in units of the cell vectors:
1 Dy 0.195 0.183 0.245
2 Tc 0.608 0.120 0.000
3 Dy 0.500 0.500 0.000
4 Cd 0.774 0.000 0.453
5 Tc 0.392 0.880 0.000
6 Dy 0.305 0.683 0.755
7 Dy 0.805 0.817 0.755
8 Cd 0.226 0.000 0.547
9 Dy 0.441 0.183 0.755
10 Cd 0.726 0.500 0.547
11 Dy 0.695 0.317 0.245
12 Tc 0.892 0.620 0.000
13 Tc 0.108 0.380 0.000
14 Dy 0.941 0.317 0.755
15 Dy 0.559 0.817 0.245
16 Dy 0.000 0.000 0.000
17 Dy 0.059 0.683 0.245
18 Cd 0.274 0.500 0.453

---

Q: Which value of formation energy does entry 2 give?
A: -0.14 eV per atom

---

Q: The highest formation energy belongs to which entry?
A: Dy5Cd2Tc2

---

Q: What is the formation energy in the second record?
A: -0.14 eV per atom